{
  "formula": "Na6ZnPb2",
  "functional": "GGA-PBE",
  "state": "relaxed",
  "cell": [[-3.7907, -2.2395, 3.3879], [-4.6598, -2.1781, -2.0988], [1.7537, -10.4559, -0.3948]],
  "species": ["Na", "Na", "Na", "Na", "Na", "Na", "Pb", "Pb", "Zn"],
  "fractional_positions": [[0.6991, 0.6991, 0.9026], [0.3009, 0.3009, 0.0974], [0.1936, 0.1936, 0.4192], [0.5767, 0.5767, 0.2699], [0.4233, 0.4233, 0.7301], [0.8064, 0.8064, 0.5808], [0.0880, 0.0880, 0.7361], [0.9120, 0.9120, 0.2639], [0.0000, 0.0000, 0.0000]],
  "dos_at_fermi_per_ev_cell": 3.6,
  "energy_ev_per_atom": -1.95,
  "formation_energy_ev_per_atom": -0.105,
  "density_g_cm3": 3.80
}